# 1
Density functional theory data (PBE) for a relaxed CaAc8Sn2 crystal.

Cell and atoms, written as CIF:
```
data_CaAc8Sn2
_cell_length_a 9.759
_cell_length_b 9.759
_cell_length_c 6.905
_cell_angle_alpha 93.63
_cell_angle_beta 93.63
_cell_angle_gamma 44.94
_space_group_name_H-M_alt 'P 1'
_space_group_IT_number 1
loop_
_space_group_symop_operation_xyz
'x,y,z'
loop_
_atom_site_label
_atom_site_type_symbol
_atom_site_fract_x
_atom_site_fract_y
_atom_site_fract_z
_atom_site_occupancy
Ca1 Ca 0.000 0.000 0.000 1
Ac1 Ac 0.150 0.640 0.600 1
Ac2 Ac 0.214 0.214 0.847 1
Ac3 Ac 0.360 0.850 0.400 1
Ac4 Ac 0.415 0.415 0.111 1
Ac5 Ac 0.585 0.585 0.889 1
Ac6 Ac 0.640 0.150 0.600 1
Ac7 Ac 0.786 0.786 0.153 1
Ac8 Ac 0.850 0.360 0.400 1
Sn1 Sn 0.259 0.259 0.341 1
Sn2 Sn 0.741 0.741 0.659 1
```

Values from the calculation:
symmetry = C2/m


# 2
Density functional theory data (PBE) for a relaxed CaAc2Sn crystal.

Cell and atoms, written as CIF:
```
data_CaAc2Sn
_cell_length_a 12.815
_cell_length_b 12.815
_cell_length_c 12.815
_cell_angle_alpha 17.64
_cell_angle_beta 17.64
_cell_angle_gamma 17.64
_space_group_name_H-M_alt 'P 1'
_space_group_IT_number 1
loop_
_space_group_symop_operation_xyz
'x,y,z'
loop_
_atom_site_label
_atom_site_type_symbol
_atom_site_fract_x
_atom_site_fract_y
_atom_site_fract_z
_atom_site_occupancy
Ca1 Ca 0.000 0.000 0.000 1
Ac1 Ac 0.100 0.100 0.100 1
Ac2 Ac 0.900 0.900 0.900 1
Sn1 Sn 0.500 0.500 0.500 1
```

Values from the calculation:
symmetry = R-3m


# 3
Density functional theory data (PBE) for a relaxed CaAc3Sn2 crystal.

Cell and atoms, written as CIF:
```
data_CaAc3Sn2
_cell_length_a 9.551
_cell_length_b 9.551
_cell_length_c 12.702
_cell_angle_alpha 116.80
_cell_angle_beta 116.80
_cell_angle_gamma 29.94
_space_group_name_H-M_alt 'P 1'
_space_group_IT_number 1
loop_
_space_group_symop_operation_xyz
'x,y,z'
loop_
_atom_site_label
_atom_site_type_symbol
_atom_site_fract_x
_atom_site_fract_y
_atom_site_fract_z
_atom_site_occupancy
Ca1 Ca 0.074 0.074 0.159 1
Ca2 Ca 0.926 0.926 0.841 1
Ac1 Ac 0.142 0.142 0.510 1
Ac2 Ac 0.273 0.273 0.874 1
Ac3 Ac 0.450 0.450 0.273 1
Ac4 Ac 0.550 0.550 0.727 1
Ac5 Ac 0.727 0.727 0.126 1
Ac6 Ac 0.858 0.858 0.490 1
Sn1 Sn 0.118 0.118 0.939 1
Sn2 Sn 0.349 0.349 0.666 1
Sn3 Sn 0.651 0.651 0.334 1
Sn4 Sn 0.882 0.882 0.061 1
```

Values from the calculation:
symmetry = C2/m


# 4
Density functional theory data (PBE) for a relaxed Ca4AcSn5 crystal.

Cell and atoms, written as CIF:
```
data_Ca4AcSn5
_cell_length_a 3.563
_cell_length_b 3.563
_cell_length_c 23.026
_cell_angle_alpha 90.00
_cell_angle_beta 90.00
_cell_angle_gamma 90.00
_space_group_name_H-M_alt 'P 1'
_space_group_IT_number 1
loop_
_space_group_symop_operation_xyz
'x,y,z'
loop_
_atom_site_label
_atom_site_type_symbol
_atom_site_fract_x
_atom_site_fract_y
_atom_site_fract_z
_atom_site_occupancy
Ca1 Ca 0.000 0.000 0.098 1
Ca2 Ca 0.000 0.000 0.294 1
Ca3 Ca 0.000 0.000 0.706 1
Ca4 Ca 0.000 0.000 0.902 1
Ac1 Ac 0.000 0.000 0.500 1
Sn1 Sn 0.500 0.500 0.000 1
Sn2 Sn 0.500 0.500 0.196 1
Sn3 Sn 0.500 0.500 0.392 1
Sn4 Sn 0.500 0.500 0.608 1
Sn5 Sn 0.500 0.500 0.804 1
```

Values from the calculation:
symmetry = P4/mmm


no.,magnetization (Bohr magnetons per cell),DFT formation energy (eV/atom),calculated density (Mg/m³)
1,0.0,-0.168,7.502
2,0.0,-0.023,6.031
3,0.0,-0.384,6.225
4,0.0,-0.599,5.571